<one>
Ba3Br: relaxed, PBE.

abc: 9.5328 9.5328 9.5328
angles: 90.00 90.00 90.00
Space group Fm-3m (No. 225)
One atom of each set of equivalent atoms:
Ba (0.0000, 0.0000, 0.0000)
Ba (0.2500, 0.2500, 0.2500)
Br (0.0000, 0.0000, 0.5000)

The value obtained for the spin magnetization is 0.01 μB per formula unit. For the density of states at the Fermi level, the calculation gives 29.8 states/eV/cell.

***

<two>
Ba3Br: relaxed, PBE.

abc: 8.3931 11.2839 4.3528
angles: 90.00 90.00 90.00
Space group Cmmm (No. 65)
One atom of each set of equivalent atoms:
Ba (0.0000, 0.0000, 0.0000)
Ba (0.2500, 0.2500, 0.5000)
Br (0.0000, 0.5000, 0.0000)

The value obtained for the spin magnetization is 0.00 μB per formula unit. For the density of states at the Fermi level, the calculation gives 9.3 states/eV/cell.

***

<three>
Ba3Br: relaxed, PBE.

abc: 4.4408 4.4408 12.2939
angles: 90.00 90.00 120.00
Space group P-6m2 (No. 187)
One atom of each set of equivalent atoms:
Ba (0.0000, 0.0000, 0.0000)
Ba (0.3333, 0.6667, 0.2987)
Br (0.0000, 0.0000, 0.5000)

The value obtained for the spin magnetization is 0.00 μB per formula unit. For the density of states at the Fermi level, the calculation gives 5.2 states/eV/cell.

***

<four>
Ba3Br: relaxed, PBE.

abc: 12.9648 12.9648 4.3363
angles: 90.00 90.00 120.00
Space group R-3m (No. 166, hexagonal axes)
One atom of each set of equivalent atoms:
Ba (0.0000, 0.5000, 0.0000)
Br (0.0000, 0.0000, 0.0000)

The value obtained for the spin magnetization is 0.00 μB per formula unit. For the density of states at the Fermi level, the calculation gives 12.3 states/eV/cell.

***

The least stable of them is <one>.